1) # Zn3Au2 | Alexandria | SCAN | single point on PBEsol structure
# DOS(E_F) = 4.63 states/eV/cell
# Crystal system = trigonal
data_Zn3Au2
_chemical_formula_sum 'Zn9 Au6'
_symmetry_space_group_name_H-M 'R -3 m'
_symmetry_Int_Tables_number 166
_symmetry_space_group_name_Hall '-R 3 2"'
_cell_length_a 2.8798
_cell_length_b 2.8798
_cell_length_c 32.0972
_cell_angle_alpha 90.00
_cell_angle_beta 90.00
_cell_angle_gamma 120.00
loop_
_atom_site_label
_atom_site_type_symbol
_atom_site_fract_x
_atom_site_fract_y
_atom_site_fract_z
Zn1 Zn 0.0000 0.0000 0.0000
Zn2 Zn 0.0000 0.0000 0.1986
Au1 Au 0.0000 0.0000 0.4006

2) # Zn3Au2 | Alexandria | SCAN | single point on PBEsol structure
# DOS(E_F) = 1.37 states/eV/cell
# Crystal system = trigonal
data_Zn3Au2
_chemical_formula_sum 'Zn3 Au2'
_symmetry_space_group_name_H-M 'P -3 m 1'
_symmetry_Int_Tables_number 164
_symmetry_space_group_name_Hall '-P 3 2"'
_cell_length_a 4.2961
_cell_length_b 4.2961
_cell_length_c 5.2652
_cell_angle_alpha 90.00
_cell_angle_beta 90.00
_cell_angle_gamma 120.00
loop_
_atom_site_label
_atom_site_type_symbol
_atom_site_fract_x
_atom_site_fract_y
_atom_site_fract_z
Zn1 Zn 0.0000 0.0000 0.0000
Zn2 Zn 0.3333 0.6667 0.3573
Au1 Au 0.3333 0.6667 0.8387

3) # Zn3Au2 | Alexandria | SCAN | single point on PBEsol structure
# DOS(E_F) = 7.57 states/eV/cell
# Crystal system = orthorhombic
data_Zn3Au2
_chemical_formula_sum 'Zn24 Au16'
_symmetry_space_group_name_H-M 'F d d 2'
_symmetry_Int_Tables_number 43
_symmetry_space_group_name_Hall 'F 2 -2d'
_cell_length_a 9.040
_cell_length_b 13.101
_cell_length_c 5.085
_cell_angle_alpha 90.00
_cell_angle_beta 90.00
_cell_angle_gamma 90.00
loop_
_atom_site_label
_atom_site_type_symbol
_atom_site_fract_x
_atom_site_fract_y
_atom_site_fract_z
Zn1 Zn 0.000 0.000 0.000
Zn2 Zn 0.044 0.401 0.034
Au1 Au 0.029 0.303 0.576

Tell me which of them is the least stable. Sure, it is 1).

1) # Zn3Au5 | Alexandria | SCAN | single point on PBEsol structure
# DOS(E_F) = 3.73 states/eV/cell
# Crystal system = hexagonal
data_Zn3Au5
_chemical_formula_sum 'Zn6 Au10'
_symmetry_space_group_name_H-M 'P 63/m c m'
_symmetry_Int_Tables_number 193
_symmetry_space_group_name_Hall '-P 6c 2'
_cell_length_a 7.4904
_cell_length_b 7.4904
_cell_length_c 5.2778
_cell_angle_alpha 90.00
_cell_angle_beta 90.00
_cell_angle_gamma 120.00
loop_
_atom_site_label
_atom_site_type_symbol
_atom_site_fract_x
_atom_site_fract_y
_atom_site_fract_z
Zn1 Zn 0.0000 0.4020 0.2500
Au1 Au 0.0000 0.2256 0.7500
Au2 Au 0.3333 0.6667 0.0000

2) # Zn3Au5 | Alexandria | SCAN | single point on PBEsol structure
# DOS(E_F) = 8.66 states/eV/cell
# Crystal system = tetragonal
data_Zn3Au5
_chemical_formula_sum 'Zn12 Au20'
_symmetry_space_group_name_H-M 'I 4/m c m'
_symmetry_Int_Tables_number 140
_symmetry_space_group_name_Hall '-I 4 2c'
_cell_length_a 9.923
_cell_length_b 9.923
_cell_length_c 5.186
_cell_angle_alpha 90.00
_cell_angle_beta 90.00
_cell_angle_gamma 90.00
loop_
_atom_site_label
_atom_site_type_symbol
_atom_site_fract_x
_atom_site_fract_y
_atom_site_fract_z
Zn1 Zn 0.000 0.000 0.250
Zn2 Zn 0.166 0.334 0.000
Au1 Au 0.000 0.500 0.250
Au2 Au 0.077 0.222 0.500

Tell me which of them is the least stable. Sure, it is 2).

1) # Zn2Au3 | Alexandria | SCAN | single point on PBEsol structure
# DOS(E_F) = 4.69 states/eV/cell
# Crystal system = trigonal
data_Zn2Au3
_chemical_formula_sum 'Zn6 Au9'
_symmetry_space_group_name_H-M 'R -3 m'
_symmetry_Int_Tables_number 166
_symmetry_space_group_name_Hall '-R 3 2"'
_cell_length_a 2.9009
_cell_length_b 2.9009
_cell_length_c 32.5875
_cell_angle_alpha 90.00
_cell_angle_beta 90.00
_cell_angle_gamma 120.00
loop_
_atom_site_label
_atom_site_type_symbol
_atom_site_fract_x
_atom_site_fract_y
_atom_site_fract_z
Zn1 Zn 0.0000 0.0000 0.1012
Au1 Au 0.0000 0.0000 0.2964
Au2 Au 0.0000 0.0000 0.5000

2) # Zn2Au3 | Alexandria | SCAN | single point on PBEsol structure
# DOS(E_F) = 1.56 states/eV/cell
# Crystal system = trigonal
data_Zn2Au3
_chemical_formula_sum 'Zn2 Au3'
_symmetry_space_group_name_H-M 'P -3 m 1'
_symmetry_Int_Tables_number 164
_symmetry_space_group_name_Hall '-P 3 2"'
_cell_length_a 4.2998
_cell_length_b 4.2998
_cell_length_c 5.2753
_cell_angle_alpha 90.00
_cell_angle_beta 90.00
_cell_angle_gamma 120.00
loop_
_atom_site_label
_atom_site_type_symbol
_atom_site_fract_x
_atom_site_fract_y
_atom_site_fract_z
Zn1 Zn 0.3333 0.6667 0.3299
Au1 Au 0.0000 0.0000 0.5000
Au2 Au 0.3333 0.6667 0.8423

Tell me which of them is the least stable. Sure, it is 1).

1) # Zn5Au3 | Alexandria | SCAN | single point on PBEsol structure
# DOS(E_F) = 3.80 states/eV/cell
# Crystal system = orthorhombic
data_Zn5Au3
_chemical_formula_sum 'Zn10 Au6'
_symmetry_space_group_name_H-M 'C m m m'
_symmetry_Int_Tables_number 65
_symmetry_space_group_name_Hall '-C 2 2'
_cell_length_a 7.294
_cell_length_b 8.168
_cell_length_c 4.027
_cell_angle_alpha 90.00
_cell_angle_beta 90.00
_cell_angle_gamma 90.00
loop_
_atom_site_label
_atom_site_type_symbol
_atom_site_fract_x
_atom_site_fract_y
_atom_site_fract_z
Zn1 Zn 0.000 0.000 0.000
Zn2 Zn 0.238 0.500 0.500
Zn3 Zn 0.250 0.250 0.000
Au1 Au 0.000 0.231 0.500
Au2 Au 0.000 0.500 0.000

2) # Zn5Au3 | Alexandria | SCAN | single point on PBEsol structure
# DOS(E_F) = 4.15 states/eV/cell
# Crystal system = tetragonal
data_Zn5Au3
_chemical_formula_sum 'Zn20 Au12'
_symmetry_space_group_name_H-M 'I 4/m c m'
_symmetry_Int_Tables_number 140
_symmetry_space_group_name_Hall '-I 4 2c'
_cell_length_a 9.880
_cell_length_b 9.880
_cell_length_c 5.081
_cell_angle_alpha 90.00
_cell_angle_beta 90.00
_cell_angle_gamma 90.00
loop_
_atom_site_label
_atom_site_type_symbol
_atom_site_fract_x
_atom_site_fract_y
_atom_site_fract_z
Zn1 Zn 0.000 0.500 0.250
Zn2 Zn 0.076 0.231 0.000
Au1 Au 0.000 0.000 0.250
Au2 Au 0.168 0.332 0.500

3) # Zn5Au3 | Alexandria | SCAN | single point on PBEsol structure
# DOS(E_F) = 3.14 states/eV/cell
# Crystal system = hexagonal
data_Zn5Au3
_chemical_formula_sum 'Zn10 Au6'
_symmetry_space_group_name_H-M 'P 63/m c m'
_symmetry_Int_Tables_number 193
_symmetry_space_group_name_Hall '-P 6c 2'
_cell_length_a 7.5649
_cell_length_b 7.5649
_cell_length_c 5.0655
_cell_angle_alpha 90.00
_cell_angle_beta 90.00
_cell_angle_gamma 120.00
loop_
_atom_site_label
_atom_site_type_symbol
_atom_site_fract_x
_atom_site_fract_y
_atom_site_fract_z
Zn1 Zn 0.0000 0.2286 0.2500
Zn2 Zn 0.3333 0.6667 0.0000
Au1 Au 0.0000 0.3905 0.7500

Tell me which of them is the least stable. Sure, it is 1).

1) # Zn5Au4 | Alexandria | SCAN | single point on PBEsol structure
# DOS(E_F) = 4.30 states/eV/cell
# Crystal system = tetragonal
data_Zn5Au4
_chemical_formula_sum 'Zn10 Au8'
_symmetry_space_group_name_H-M 'I 4/m m m'
_symmetry_Int_Tables_number 139
_symmetry_space_group_name_Hall '-I 4 2'
_cell_length_a 8.322
_cell_length_b 8.322
_cell_length_c 3.942
_cell_angle_alpha 90.00
_cell_angle_beta 90.00
_cell_angle_gamma 90.00
loop_
_atom_site_label
_atom_site_type_symbol
_atom_site_fract_x
_atom_site_fract_y
_atom_site_fract_z
Zn1 Zn 0.000 0.000 0.000
Zn2 Zn 0.166 0.166 0.500
Au1 Au 0.000 0.317 0.000

2) # Zn5Au4 | Alexandria | SCAN | single point on PBEsol structure
# DOS(E_F) = 3.91 states/eV/cell
# Crystal system = hexagonal
data_Zn5Au4
_chemical_formula_sum 'Zn10 Au8'
_symmetry_space_group_name_H-M 'P 63/m c m'
_symmetry_Int_Tables_number 193
_symmetry_space_group_name_Hall '-P 6c 2'
_cell_length_a 7.6903
_cell_length_b 7.6903
_cell_length_c 5.4131
_cell_angle_alpha 90.00
_cell_angle_beta 90.00
_cell_angle_gamma 120.00
loop_
_atom_site_label
_atom_site_type_symbol
_atom_site_fract_x
_atom_site_fract_y
_atom_site_fract_z
Zn1 Zn 0.0000 0.2987 0.2500
Zn2 Zn 0.3333 0.6667 0.0000
Au1 Au 0.0000 0.0000 0.0000
Au2 Au 0.0000 0.3739 0.7500

Tell me which of them is the least stable. Sure, it is 1).

1) # KBe2B3O7 | Alexandria | SCAN | single point on PBEsol structure
# DOS(E_F) = 0.00 states/eV/cell
# Crystal system = monoclinic
data_KBe2B3O7
_chemical_formula_sum 'K4 Be8 B12 O28'
_symmetry_space_group_name_H-M 'C 1 2/c 1'
_symmetry_Int_Tables_number 15
_cell_length_a 10.415
_cell_length_b 9.002
_cell_length_c 6.534
_cell_angle_alpha 90.00
_cell_angle_beta 114.66
_cell_angle_gamma 90.00
loop_
_symmetry_equiv_pos_as_xyz
'x,y,z'
'-x,-y,-z'
'-x,y,-z+1/2'
'x,-y,z+1/2'
'x+1/2,y+1/2,z'
'-x+1/2,-y+1/2,-z'
'-x+1/2,y+1/2,-z+1/2'
'x+1/2,-y+1/2,z+1/2'
loop_
_atom_site_label
_atom_site_type_symbol
_atom_site_fract_x
_atom_site_fract_y
_atom_site_fract_z
K1 K 0.000 0.176 0.250
Be1 Be 0.154 0.211 0.843
B1 B 0.000 0.451 0.750
B2 B 0.248 0.019 0.183
O1 O 0.000 0.298 0.750
O2 O 0.114 0.465 0.264
O3 O 0.149 0.071 0.696
O4 O 0.221 0.165 0.117

2) # KBe2B3O7 | Alexandria | SCAN | single point on PBEsol structure
# DOS(E_F) = 0.00 states/eV/cell
# Crystal system = orthorhombic
data_KBe2B3O7
_chemical_formula_sum 'K4 Be8 B12 O28'
_symmetry_space_group_name_H-M 'P m n 21'
_symmetry_Int_Tables_number 31
_cell_length_a 7.643
_cell_length_b 17.534
_cell_length_c 4.384
_cell_angle_alpha 90.00
_cell_angle_beta 90.00
_cell_angle_gamma 90.00
loop_
_symmetry_equiv_pos_as_xyz
'x,y,z'
'-x+1/2,-y,z+1/2'
'-x,y,z'
'x+1/2,-y,z+1/2'
loop_
_atom_site_label
_atom_site_type_symbol
_atom_site_fract_x
_atom_site_fract_y
_atom_site_fract_z
K1 K 0.000 0.133 0.000
K2 K 0.000 0.645 0.599
Be1 Be 0.177 0.463 0.695
Be2 Be 0.189 0.958 0.025
B1 B 0.000 0.490 0.188
B2 B 0.000 0.979 0.522
B3 B 0.161 0.816 0.946
B4 B 0.167 0.307 0.588
O1 O 0.000 0.277 0.550
O2 O 0.000 0.490 0.875
O3 O 0.000 0.832 0.808
O4 O 0.000 0.972 0.208
O5 O 0.156 0.492 0.343
O6 O 0.158 0.986 0.673
O7 O 0.196 0.738 0.980
O8 O 0.210 0.374 0.708
O9 O 0.235 0.127 0.538

3) # KBe2B3O7 | Alexandria | SCAN | single point on PBEsol structure
# DOS(E_F) = 0.00 states/eV/cell
# Crystal system = monoclinic
data_KBe2B3O7
_chemical_formula_sum 'K6 Be12 B18 O42'
_symmetry_space_group_name_H-M 'P 1 21 1'
_symmetry_Int_Tables_number 4
_cell_length_a 7.494
_cell_length_b 13.309
_cell_length_c 9.389
_cell_angle_alpha 90.00
_cell_angle_beta 111.82
_cell_angle_gamma 90.00
loop_
_symmetry_equiv_pos_as_xyz
'x,y,z'
'-x,y+1/2,-z'
loop_
_atom_site_label
_atom_site_type_symbol
_atom_site_fract_x
_atom_site_fract_y
_atom_site_fract_z
K1 K 0.000 0.000 0.004
K2 K 0.369 0.924 0.765
K3 K 0.379 0.572 0.764
Be1 Be 0.025 0.587 0.414
Be2 Be 0.026 0.252 0.411
Be3 Be 0.029 0.921 0.423
Be4 Be 0.394 0.920 0.415
Be5 Be 0.400 0.255 0.411
Be6 Be 0.401 0.587 0.424
B1 B 0.152 0.161 0.852
B2 B 0.154 0.342 0.844
B3 B 0.194 0.745 0.912
B4 B 0.233 0.419 0.460
B5 B 0.234 0.754 0.472
B6 B 0.235 0.088 0.465
B7 B 0.314 0.255 0.088
B8 B 0.347 0.840 0.152
B9 B 0.359 0.660 0.158
O1 O 0.068 0.251 0.789
O2 O 0.080 0.471 0.473
O3 O 0.087 0.138 0.484
O4 O 0.090 0.808 0.496
O5 O 0.109 0.076 0.768
O6 O 0.111 0.424 0.757
O7 O 0.116 0.741 0.762
O8 O 0.221 0.317 0.431
O9 O 0.227 0.651 0.454
O10 O 0.228 0.984 0.453
O11 O 0.234 0.837 0.993
O12 O 0.248 0.656 0.000
O13 O 0.271 0.162 0.009
O14 O 0.276 0.344 0.000
O15 O 0.354 0.923 0.233
O16 O 0.375 0.579 0.246
O17 O 0.395 0.137 0.462
O18 O 0.396 0.806 0.480
O19 O 0.400 0.258 0.239
O20 O 0.400 0.471 0.484
O21 O 0.443 0.752 0.216

Tell me which of them is the least stable. Sure, it is 2).